Below is an optimized crystal structure of TlAu, with properties calculated at the PBE level.

abc: 3.237 3.237 5.050
angles: 90.00 90.00 120.00
Atoms (fractional coordinates):
Tl (0.000, 0.000, 0.000)
Au (0.333, 0.667, 0.500)

Output
Electronic total energy   -2.653 eV per atom

Below is an optimized crystal structure of ErMgBe, with properties calculated at the PBE level.

abc: 4.610 4.610 4.610
angles: 60.00 60.00 60.00
Atoms (fractional coordinates):
Er (0.000, 0.000, 0.000)
Mg (0.750, 0.750, 0.750)
Be (0.500, 0.500, 0.500)

Output
Total magnetization   0.02 μB per cell
ΔE to the lowest computed polymorph   0.000 eV/f.u.

Below is an optimized crystal structure of CdNiH, with properties calculated at the PBE level.

abc: 3.091 3.091 7.118
angles: 90.00 90.00 90.00
Atoms (fractional coordinates):
Cd (0.250, 0.250, 0.158)
Cd (0.750, 0.750, 0.842)
Ni (0.250, 0.250, 0.604)
Ni (0.750, 0.750, 0.396)
H (0.250, 0.750, 0.500)
H (0.750, 0.250, 0.500)

Output
Electronic total energy   -3.316 eV per atom
Total magnetization   0.00 μB per cell

Below is an optimized crystal structure of BaPuGe, with properties calculated at the PBE level.

abc: 5.175 5.175 5.175
angles: 60.00 60.00 60.00
Atoms (fractional coordinates):
Ba (0.000, 0.000, 0.000)
Pu (0.750, 0.750, 0.750)
Ge (0.500, 0.500, 0.500)

Output
Total magnetization   5.99 μB per cell
ΔE to the lowest computed polymorph   0.000 eV/f.u.

Below is an optimized crystal structure of Er3Tm3CuTe2, with properties calculated at the PBE level.

abc: 8.322 8.322 3.895
angles: 90.00 90.00 120.00
Atoms (fractional coordinates):
Er (0.000, 0.599, 0.000)
Er (0.401, 0.401, 0.000)
Er (0.599, 0.000, 0.000)
Tm (0.000, 0.243, 0.500)
Tm (0.243, 0.000, 0.500)
Tm (0.757, 0.757, 0.500)
Cu (0.000, 0.000, 0.000)
Te (0.333, 0.667, 0.500)
Te (0.667, 0.333, 0.500)

Output
Total magnetization   0.06 μB per cell
ΔE to the lowest computed polymorph   0.000 eV/f.u.

Below is an optimized crystal structure of TbDy3Ho2, with properties calculated at the PBE level.

abc: 9.456 9.456 6.163
angles: 102.53 102.53 44.20
Atoms (fractional coordinates):
Tb (0.125, 0.875, 0.750)
Tb (0.875, 0.125, 0.250)
Dy (0.208, 0.458, 0.472)
Dy (0.375, 0.625, 0.250)
Dy (0.458, 0.208, 0.972)
Dy (0.542, 0.792, 0.028)
Dy (0.625, 0.375, 0.750)
Dy (0.792, 0.542, 0.528)
Ho (0.042, 0.292, 0.028)
Ho (0.292, 0.042, 0.528)
Ho (0.708, 0.958, 0.472)
Ho (0.958, 0.708, 0.972)

Output
Total magnetization   0.03 μB per cell
DFT formation energy   -0.01 eV/f.u.

Below is an optimized crystal structure of Cs2DyYO4, with properties calculated at the PBE level.

abc: 3.530 3.530 13.565
angles: 90.00 90.00 120.00
Atoms (fractional coordinates):
Cs (0.333, 0.667, 0.250)
Cs (0.667, 0.333, 0.750)
Dy (0.000, 0.000, 0.500)
Y (0.000, 0.000, 0.000)
O (0.333, 0.667, 0.583)
O (0.333, 0.667, 0.917)
O (0.667, 0.333, 0.083)
O (0.667, 0.333, 0.417)

Output
Electronic total energy   -6.690 eV per atom
Total magnetization   0.00 μB per cell

Below is an optimized crystal structure of KBeCo, with properties calculated at the PBE level.

abc: 4.567 4.567 4.567
angles: 60.00 60.00 60.00
Atoms (fractional coordinates):
K (0.000, 0.000, 0.000)
Be (0.750, 0.750, 0.750)
Co (0.500, 0.500, 0.500)

Output
Total magnetization   1.41 μB per cell
ΔE to the lowest computed polymorph   0.040 eV/f.u.

Below is an optimized crystal structure of ErLu, with properties calculated at the PBE level.

abc: 3.535 3.535 5.523
angles: 90.00 90.00 120.00
Atoms (fractional coordinates):
Er (0.000, 0.000, 0.000)
Lu (0.667, 0.333, 0.500)

Output
Total magnetization   0.04 μB per cell
ΔE to the lowest computed polymorph   0.003 eV/f.u.
DFT formation energy   0.00 eV/f.u.

Below is an optimized crystal structure of Ba2Np3S8, with properties calculated at the PBE level.

abc: 8.461 8.461 6.932
angles: 106.95 106.95 57.83
Atoms (fractional coordinates):
Ba (0.226, 0.226, 0.164)
Ba (0.774, 0.774, 0.836)
Np (0.244, 0.756, 0.500)
Np (0.500, 0.500, 0.000)
Np (0.756, 0.244, 0.500)
S (0.110, 0.110, 0.470)
S (0.173, 0.615, 0.106)
S (0.385, 0.827, 0.894)
S (0.401, 0.401, 0.596)
S (0.599, 0.599, 0.404)
S (0.615, 0.173, 0.106)
S (0.827, 0.385, 0.894)
S (0.890, 0.890, 0.530)

Output
Electronic total energy   -7.379 eV per atom
Total magnetization   9.00 μB per cell

Below is an optimized crystal structure of YHfInCo, with properties calculated at the PBE level.

abc: 4.819 4.819 4.819
angles: 60.00 60.00 60.00
Atoms (fractional coordinates):
Y (0.000, 0.000, 0.000)
Hf (0.250, 0.250, 0.250)
In (0.750, 0.750, 0.750)
Co (0.500, 0.500, 0.500)

Output
Total magnetization   1.00 μB per cell
ΔE to the lowest computed polymorph   0.000 eV/f.u.

Below is an optimized crystal structure of MgZnCoNi, with properties calculated at the PBE level.

abc: 4.144 4.144 4.144
angles: 60.00 60.00 60.00
Atoms (fractional coordinates):
Mg (0.000, 0.000, 0.000)
Zn (0.500, 0.500, 0.500)
Co (0.750, 0.750, 0.750)
Ni (0.250, 0.250, 0.250)

Output
Total magnetization   0.17 μB per cell
ΔE to the lowest computed polymorph   0.000 eV/f.u.

no.,V (Å³ per atom)
1,22.91
2,23.09
3,11.34
4,32.66
5,25.96
6,31.13
7,18.30
8,22.46
9,29.87
10,30.47
11,19.78
12,12.58